*one*
AlHCl3 | PBE-GGA | relaxed

extended XYZ file:
```
5
Lattice="4.689 0.000 0.000 0.000 4.689 0.000 0.000 0.000 4.689" Properties=species:S:1:pos:R:3 pbc="T T T"
Al 0.000 0.000 0.000
Cl 2.344 0.000 0.000
Cl 0.000 0.000 2.344
Cl 0.000 2.344 0.000
H 2.344 2.344 2.344
```

Summary:
* crystal system: cubic



*two*
AlHCl3 | PBE-GGA | relaxed

extended XYZ file:
```
5
Lattice="4.375 0.000 0.000 0.000 4.375 0.000 0.000 0.000 4.375" Properties=species:S:1:pos:R:3 pbc="T T T"
Cl 0.000 2.188 0.000
Cl 0.000 0.000 2.188
Cl 2.188 0.000 0.000
Al 2.188 2.188 2.188
H 0.000 0.000 0.000
```

Summary:
* crystal system: cubic



*three*
AlHCl3 | PBE-GGA | relaxed

extended XYZ file:
```
20
Lattice="-7.183 0.997 0.846 0.086 -4.054 5.505 2.321 9.911 8.035" Properties=species:S:1:pos:R:3 pbc="T T T"
Cl -4.959 -0.990 7.548
Cl -1.215 0.900 5.606
Cl -3.562 5.954 8.780
Cl -1.463 4.316 6.216
Cl 0.323 2.517 8.617
Cl -5.100 4.337 5.769
Cl -2.458 -0.193 2.033
Cl -0.764 -2.918 4.738
Cl 0.182 7.844 6.838
Cl -2.319 7.047 12.354
Cl -3.314 2.538 8.170
Cl -4.013 9.772 9.649
Al -1.267 2.238 7.252
Al -5.743 -2.212 6.001
Al -3.509 4.616 7.134
Al 0.966 9.066 8.385
H -3.451 6.360 6.351
H -1.326 0.494 8.035
H 0.731 7.346 9.189
H -5.508 -0.492 5.197
```

Summary:
* crystal system: monoclinic



Which of them is least stable? Easy: *two*.



*one*
AlP2HCl | PBE-GGA | relaxed

extended XYZ file:
```
5
Lattice="4.670 0.000 0.000 0.000 5.425 0.000 0.000 0.000 4.670" Properties=species:S:1:pos:R:3 pbc="T T T"
Cl 0.000 0.000 0.000
H 2.335 2.713 2.335
P 2.335 0.000 0.000
P 0.000 0.000 2.335
Al 0.000 2.713 0.000
```

Summary:
* crystal system: tetragonal



*two*
AlP2HCl | PBE-GGA | relaxed

extended XYZ file:
```
5
Lattice="-3.020 0.996 3.490 -1.421 -4.502 0.056 3.499 -1.063 3.331" Properties=species:S:1:pos:R:3 pbc="T T T"
P -0.710 -2.251 0.028
P -1.510 0.498 1.745
H -0.471 -2.284 3.438
Al 0.000 0.000 0.000
Cl 1.749 -0.531 1.665
```

Summary:
* crystal system: tetragonal



*three*
AlP2HCl | PBE-GGA | relaxed

extended XYZ file:
```
5
Lattice="-1.843 -3.143 -0.151 2.622 -1.631 1.942 -2.794 1.401 4.948" Properties=species:S:1:pos:R:3 pbc="T T T"
Cl -1.397 0.700 2.474
P -0.922 -1.572 -0.075
P 1.311 -0.815 0.971
Al -1.008 -1.687 3.370
H 0.000 0.000 0.000
```

Summary:
* crystal system: tetragonal



Which of them is least stable? Easy: *one*.